Record 1
## LaHo6Er12 (PBE-GGA)

Data for a relaxed structure of LaHo6Er12.

Structure (POSCAR):
```
LaHo6Er12
1.0
8.395 0.719 0.861
-0.562 8.407 0.861
-0.562 -0.655 8.426
Ho Er La
6 12 1
direct
0.744 0.910 0.317
0.910 0.317 0.744
0.317 0.744 0.910
0.090 0.683 0.256
0.683 0.256 0.090
0.256 0.090 0.683
0.546 0.436 0.771
0.646 0.993 0.785
0.215 0.354 0.007
0.354 0.007 0.215
0.785 0.646 0.993
0.993 0.785 0.646
0.454 0.564 0.229
0.007 0.215 0.354
0.229 0.454 0.564
0.436 0.771 0.546
0.564 0.229 0.454
0.771 0.546 0.436
0.000 0.000 0.000
```

Output
Energy above the most stable polymorph in this dataset (eV per atom): 0.000
Volume (Å³ per cell): 606.92
Symmetry: R-3, No. 148

***

Record 2
## Tl12HgAu7 (PBE-GGA)

Data for a relaxed structure of Tl12HgAu7.

Structure (POSCAR):
```
Tl12HgAu7
1.0
8.184 0.000 2.617
-4.013 7.305 3.145
0.158 0.000 8.907
Tl Hg Au
12 1 7
direct
0.290 0.342 0.529
0.181 0.471 0.871
0.420 0.273 0.160
0.147 0.567 0.273
0.710 0.658 0.471
0.580 0.727 0.840
0.052 0.871 0.658
0.853 0.433 0.727
0.948 0.129 0.342
0.581 0.160 0.567
0.819 0.529 0.129
0.419 0.840 0.433
0.000 0.000 0.000
0.759 0.175 0.107
0.241 0.825 0.893
0.134 0.893 0.282
0.500 0.000 0.000
0.584 0.718 0.175
0.866 0.107 0.718
0.416 0.282 0.825
```

Output
Volume (Å³ per cell): 529.50
Symmetry: R-3, No. 148
Raw total energy (eV per formula unit): -51.7

***

Record 3
## TlPb4Au2 (PBE-GGA)

Data for a relaxed structure of TlPb4Au2.

Structure (POSCAR):
```
TlPb4Au2
1.0
6.854 -0.478 -2.454
-1.782 6.648 -2.510
-0.016 0.079 8.995
Pb Au Tl
8 4 2
direct
0.600 0.801 0.526
0.133 0.814 0.725
0.139 0.405 0.383
0.816 0.516 0.971
0.492 0.269 0.118
0.187 0.946 0.362
0.584 0.839 0.141
0.165 0.344 0.773
0.478 0.121 0.752
0.483 0.635 0.753
0.852 0.643 0.345
0.255 0.559 0.150
0.672 0.320 0.533
0.894 0.038 0.969
```

Output
Energy above the most stable polymorph in this dataset (eV per atom): 0.000
Volume (Å³ per cell): 403.57
Symmetry: P1, No. 1

***

Record 4
## ScS2O6F2 (PBE-GGA)

Data for a relaxed structure of ScS2O6F2.

Structure (POSCAR):
```
ScS2O6F2
1.0
5.710 0.000 0.000
-2.855 4.945 0.000
0.000 0.000 5.660
Sc O S F
1 6 2 2
direct
0.000 0.000 0.000
0.379 0.189 0.204
0.189 0.379 0.796
0.811 0.621 0.204
0.189 0.811 0.796
0.621 0.811 0.796
0.811 0.189 0.204
0.667 0.333 0.256
0.333 0.667 0.744
0.667 0.333 0.539
0.333 0.667 0.461
```

Output
Volume (Å³ per cell): 159.80
Raw formation energy (meV/atom): -1745
Symmetry: P-3m1, No. 164

***

Record 5
## RbScCd2Br8 (PBE-GGA)

Data for a relaxed structure of RbScCd2Br8.

Structure (POSCAR):
```
RbScCd2Br8
1.0
-6.160 -3.142 0.164
-1.985 -2.004 -6.317
3.989 -9.155 0.965
Br Cd Rb Sc
8 2 1 1
direct
0.232 0.232 0.018
0.740 0.216 0.193
0.260 0.784 0.807
0.216 0.740 0.193
0.696 0.696 0.447
0.304 0.304 0.553
0.784 0.260 0.807
0.768 0.768 0.982
0.364 0.364 0.791
0.636 0.636 0.209
0.000 0.000 0.500
0.000 0.000 0.000
```

Output
Volume (Å³ per cell): 445.65
Raw formation energy (meV/atom): -1258
Symmetry: C2/m, No. 12

***

Record 6
## Pr2PaS2N2 (PBE-GGA)

Data for a relaxed structure of Pr2PaS2N2.

Structure (POSCAR):
```
Pr2PaS2N2
1.0
-0.563 -3.361 2.693
2.794 1.781 2.808
-6.874 4.473 0.643
N Pa Pr S
2 1 2 2
direct
0.000 0.500 0.000
0.500 0.000 0.000
0.000 0.000 0.000
0.633 0.633 0.265
0.367 0.367 0.735
0.180 0.180 0.360
0.820 0.820 0.640
```

Output
Volume (Å³ per cell): 143.96
Raw formation energy (meV/atom): -1641
Symmetry: I4/mmm, No. 139

***

Record 7
## Pd3PbN (PBE-GGA)

Data for a relaxed structure of Pd3PbN.

Structure (POSCAR):
```
Pd3PbN
1.0
4.311 0.000 0.000
0.000 4.311 0.000
0.000 0.000 4.311
Pb Pd N
1 3 1
direct
0.500 0.500 0.500
0.000 0.000 0.500
0.000 0.500 0.000
0.500 0.000 0.000
0.000 0.000 0.000
```

Output
Energy above the most stable polymorph in this dataset (eV per atom): 0.000
Volume (Å³ per cell): 80.10
Raw formation energy (meV/atom): 173
Symmetry: Pm-3m, No. 221

***

Record 8
## CsUCd2Cl8 (PBE-GGA)

Data for a relaxed structure of CsUCd2Cl8.

Structure (POSCAR):
```
CsUCd2Cl8
1.0
-4.578 4.199 2.792
-1.079 -6.724 0.038
4.862 -0.728 9.068
U Cl Cs Cd
1 8 1 2
direct
0.000 0.000 0.500
0.686 0.675 0.663
0.989 0.314 0.663
0.314 0.325 0.337
0.667 0.333 0.012
0.325 0.011 0.663
0.675 0.989 0.337
0.333 0.667 0.988
0.011 0.686 0.337
0.000 0.000 0.000
0.667 0.333 0.246
0.333 0.667 0.754
```

Output
Volume (Å³ per cell): 414.30
Raw formation energy (meV/atom): -1406
Symmetry: P-3, No. 147